[1]
# KSi2W

KSi2W at its PBEsol-relaxed geometry (SCAN, Alexandria).

It has space group Cm (No. 8), with a = 8.3353 Å, b = 3.1222 Å, c = 7.6414 Å, α = 90.00°, β = 116.82° and γ = 90.00°. The distinct sites, in fractional coordinates, are K at (0.0000, 0.0000, 0.0000), Si at (0.1159, 0.0000, 0.6166), Si at (0.4306, 0.0000, 0.3582) and W at (0.2727, 0.5000, 0.4854).

The energy comes out at -193.5 eV/cell. For the density of states at the Fermi level, the calculation gives 0.3092 states/eV/atom. For the polymorph energy (0 for the lowest one), the calculation gives 0 meV per atom.

=====

[2]
# KSiW2

KSiW2 at its PBEsol-relaxed geometry (SCAN, Alexandria).

It has space group P4mm (No. 99), with a = 3.1993 Å, b = 3.1993 Å, c = 8.1430 Å, α = 90.00°, β = 90.00° and γ = 90.00°. The distinct sites, in fractional coordinates, are K at (0.0000, 0.0000, 0.0000), Si at (0.5000, 0.5000, 0.3071), W at (0.0000, 0.0000, 0.4701) and W at (0.5000, 0.5000, 0.6348).

The energy comes out at -155.1 eV/cell. For the density of states at the Fermi level, the calculation gives 0.9994 states/eV/atom.

=====

[3]
# KSi2W

KSi2W at its PBEsol-relaxed geometry (SCAN, Alexandria).

It has space group Fm-3m (No. 225), with a = 6.5077 Å, b = 6.5077 Å, c = 6.5077 Å, α = 90.00°, β = 90.00° and γ = 90.00°. The distinct sites, in fractional coordinates, are K at (0.0000, 0.0000, 0.0000), Si at (0.2500, 0.2500, 0.2500) and W at (0.0000, 0.0000, 0.5000).

The energy comes out at -374.0 eV/cell. For the density of states at the Fermi level, the calculation gives 0.7342 states/eV/atom. For the polymorph energy (0 for the lowest one), the calculation gives 813 meV per atom.

=====

[4]
# KSiW2

KSiW2 at its PBEsol-relaxed geometry (SCAN, Alexandria).

It has space group Cmm2 (No. 35), with a = 3.2439 Å, b = 4.4979 Å, c = 9.9467 Å, α = 90.00°, β = 90.00° and γ = 90.00°. The distinct sites, in fractional coordinates, are K at (0.0000, 0.0000, 0.0000), Si at (0.0000, 0.5000, 0.7241), W at (0.0000, 0.0000, 0.5249) and W at (0.0000, 0.5000, 0.3093).

The energy comes out at -310.5 eV/cell. For the density of states at the Fermi level, the calculation gives 0.6522 states/eV/atom.

=====

[5]
# KSiW

KSiW at its PBEsol-relaxed geometry (SCAN, Alexandria).

It has space group F-43m (No. 216), with a = 6.4832 Å, b = 6.4832 Å, c = 6.4832 Å, α = 90.00°, β = 90.00° and γ = 90.00°. The distinct sites, in fractional coordinates, are K at (0.0000, 0.0000, 0.0000), Si at (0.2500, 0.2500, 0.2500) and W at (0.0000, 0.0000, 0.5000).

The energy comes out at -331.9 eV/cell. For the density of states at the Fermi level, the calculation gives 0.4257 states/eV/atom. For the polymorph energy (0 for the lowest one), the calculation gives 936 meV per atom.

=====

[6]
# KSiW

KSiW at its PBEsol-relaxed geometry (SCAN, Alexandria).

It has space group I4mm (No. 107), with a = 2.7647 Å, b = 2.7647 Å, c = 15.0744 Å, α = 90.00°, β = 90.00° and γ = 90.00°. The distinct sites, in fractional coordinates, are K at (0.0000, 0.0000, 0.0000), Si at (0.0000, 0.0000, 0.6771) and W at (0.0000, 0.0000, 0.2976).

The energy comes out at -171.6 eV/cell. For the density of states at the Fermi level, the calculation gives 0.5389 states/eV/atom. For the polymorph energy (0 for the lowest one), the calculation gives 0 meV per atom.

=====

Energy relative to the elements, uncorrected, respectively: 0.325; 0.648; 1.138; 0.620; 1.682; 0.746 eV/atom.